No. 1
The following is a DFT calculation (PBEsol) of ZrH2Ir after structural relaxation.

a = 4.2053 Å, b = 4.2053 Å, c = 5.5468 Å
α = 112.28°, β = 112.28°, γ = 90.00°
Closest atoms and distances in Å follow each position.
Atoms (fractional coordinates):
H (0.3126, 0.8750, 0.2500)  2 Ir 1.76
H (0.9374, 0.3750, 0.2500)  2 Ir 1.76
H (0.1250, 0.0626, 0.7500)  2 Ir 1.76
H (0.6250, 0.6874, 0.7500)  2 Ir 1.76
Ir (0.0000, 0.0000, 0.0000)  4 H 1.76
Ir (0.2500, 0.7500, 0.5000)  4 H 1.76
Zr (0.7500, 0.2500, 0.5000)  4 H 2.05
Zr (0.5000, 0.5000, 0.0000)  4 H 2.05

Calculated values
- Theoretical density: 11.449 g/cm3
- Density of states at the Fermi level: 4.2 states/eV per cell
- Magnetization: 0.000 μB per atom
- Volume: 83 Å³ per cell
- Uncorrected energy: -6.6934 eV per atom
- Space group: I-42d, No. 122

***

No. 2
The following is a DFT calculation (PBEsol) of Zr2H2Ir after structural relaxation.

a = 3.1075 Å, b = 3.1075 Å, c = 6.6762 Å
α = 103.46°, β = 103.46°, γ = 90.00°
Closest atoms and distances in Å follow each position.
Atoms (fractional coordinates):
H (0.7500, 0.2500, 0.5000)  4 Zr 2.08, 4 H 2.20
H (0.2500, 0.7500, 0.5000)  4 Zr 2.08, 4 H 2.20
Zr (0.6402, 0.6402, 0.2804)  4 H 2.08
Zr (0.3598, 0.3598, 0.7196)  4 H 2.08
Ir (0.0000, 0.0000, 0.0000)  8 Zr 2.82, 4 Ir 3.11

Calculated values
- Theoretical density: 10.275 g/cm3
- Density of states at the Fermi level: 3.1 states/eV per cell
- Magnetization: 0.000 μB per atom
- Volume: 61 Å³ per cell
- Uncorrected energy: -7.6171 eV per atom
- Space group: I4/mmm, No. 139

***

No. 3
The following is a DFT calculation (PBEsol) of Zr3HIr after structural relaxation.

a = 4.2930 Å, b = 4.2930 Å, c = 4.2930 Å
α = 90.00°, β = 90.00°, γ = 90.00°
Closest atoms and distances in Å follow each position.
Atoms (fractional coordinates):
Zr (0.5000, 0.0000, 0.0000)  2 H 2.15
Zr (0.0000, 0.5000, 0.0000)  2 H 2.15
Zr (0.0000, 0.0000, 0.5000)  2 H 2.15
H (0.0000, 0.0000, 0.0000)  6 Zr 2.15
Ir (0.5000, 0.5000, 0.5000)  12 Zr 3.04

Calculated values
- Theoretical density: 9.799 g/cm3
- Relative energy among the computed polymorphs: 0.000 eV per atom
- Density of states at the Fermi level: 5.8 states/eV per cell
- Magnetization: 0.000 μB per atom
- Volume: 79 Å³ per cell
- Space group: Pm-3m, No. 221

***

No. 4
The following is a DFT calculation (PBEsol) of KH after structural relaxation.

a = 3.9236 Å, b = 3.9236 Å, c = 3.9236 Å
α = 60.00°, β = 60.00°, γ = 60.00°
Closest atoms and distances in Å follow each position.
Atoms (fractional coordinates):
K (0.5000, 0.5000, 0.5000)  6 H 2.77
H (0.0000, 0.0000, 0.0000)  6 K 2.77

Calculated values
- Theoretical density: 1.559 g/cm3
- Density of states at the Fermi level: 0.0 states/eV per cell
- Magnetization: 0.000 μB per atom
- Volume: 43 Å³ per cell
- Uncorrected energy: -2.4132 eV per atom
- Space group: Fm-3m, No. 225